Record 1
# ZnNi2H2

An optimized crystal structure of ZnNi2H2 (PBE, the Open Quantum Materials Database).

Cell lengths 5.8169, 4.9516, 4.5769 Å; angles 75.13, 55.36, 49.51 degrees
Closest atoms and distances in Å follow each position.
Element x y z (fractional)
H1 0.6334 0.6334 0.3666  4 Ni 1.70-1.75
H2 0.8834 0.8834 0.6166  4 Ni 1.70-1.75
H3 0.3666 0.3666 0.6334  4 Ni 1.70-1.75
H4 0.6166 0.6166 0.8834  4 Ni 1.70-1.75
Ni1 0.3316 0.6684 0.3316  4 H 1.70-1.75
Ni2 0.5816 0.9184 0.5816  4 H 1.70-1.75
Ni3 0.6684 0.3316 0.6684  4 H 1.70-1.75
Ni4 0.9184 0.5816 0.9184  4 H 1.70-1.75
Zn1 0.0000 0.0000 0.0000  8 H 2.50-2.67, 10 Ni 2.56-2.74
Zn2 0.2500 0.2500 0.2500  8 H 2.50-2.67, 10 Ni 2.56-2.74

Summary:
Energy above the most stable polymorph in this dataset in eV/atom: 0.000

Record 2
# TaNbNO

An optimized crystal structure of TaNbNO (PBE, the Open Quantum Materials Database).

Cell lengths 4.3793, 4.3793, 4.5478 Å; angles 90.00, 90.00, 90.00 degrees
Closest atoms and distances in Å follow each position.
Element x y z (fractional)
N1 0.5000 0.5000 0.4110  2 Ta 2.20-2.34, 4 Nb 2.23
N2 0.0000 0.0000 0.5890  2 Ta 2.20-2.34, 4 Nb 2.23
Nb1 0.5000 0.0000 0.5000  4 N 2.23, 2 O 2.27
Nb2 0.0000 0.5000 0.5000  4 N 2.23, 2 O 2.27
O1 0.5000 0.0000 0.0000  4 Ta 2.22, 2 Nb 2.27
O2 0.0000 0.5000 0.0000  4 Ta 2.22, 2 Nb 2.27
Ta1 0.0000 0.0000 0.0738  2 N 2.20-2.34, 4 O 2.22
Ta2 0.5000 0.5000 0.9262  2 N 2.20-2.34, 4 O 2.22

Summary:
Energy above the most stable polymorph in this dataset in eV/atom: 0.261

Record 3
# ErZr

An optimized crystal structure of ErZr (PBE, the Open Quantum Materials Database).

Cell lengths 8.9575, 6.7758, 5.3296 Å; angles 90.00, 90.00, 100.89 degrees
Closest atoms and distances in Å follow each position.
Element x y z (fractional)
Er1 0.3416 0.3257 0.0000  5 Er 3.26-3.55, 7 Zr 3.29-3.40
Er2 0.9904 0.4977 0.0000  4 Zr 3.32-3.40, 8 Er 3.33-3.55
Er3 0.3398 0.8443 0.0000  7 Zr 3.26-3.40, 5 Er 3.26-3.54
Er4 0.8824 0.2112 0.5000  7 Zr 3.26-3.40, 5 Er 3.26-3.54
Er5 0.2318 0.5579 0.5000  4 Zr 3.32-3.40, 8 Er 3.33-3.55
Er6 0.8807 0.7299 0.5000  5 Er 3.26-3.55, 7 Zr 3.29-3.40
Zr1 0.0019 0.0025 0.0000  4 Zr 3.29-3.42, 8 Er 3.29-3.40
Zr2 0.6694 0.1591 0.0000  5 Er 3.26-3.34, 7 Zr 3.26-3.50
Zr3 0.6615 0.6731 0.0000  7 Zr 3.28-3.50, 5 Er 3.29-3.38
Zr4 0.2203 0.0531 0.5000  4 Zr 3.29-3.42, 8 Er 3.29-3.40
Zr5 0.5607 0.3825 0.5000  7 Zr 3.28-3.50, 5 Er 3.29-3.38
Zr6 0.5528 0.8965 0.5000  5 Er 3.26-3.34, 7 Zr 3.26-3.50

Summary:
E_form in eV per atom: 0.06

Record 4
# Ho2B4O9

An optimized crystal structure of Ho2B4O9 (PBE, the Open Quantum Materials Database).

Cell lengths 6.1140, 6.3696, 7.4410 Å; angles 102.71, 97.36, 102.59 degrees
Closest atoms and distances in Å follow each position.
Element x y z (fractional)
B1 0.2662 0.6661 0.0193  4 O 1.45-1.50
B2 0.3383 0.3159 0.0723  4 O 1.43-1.49
B3 0.9953 0.1440 0.1908  3 O 1.37-1.40
B4 0.3748 0.6435 0.3498  4 O 1.47-1.55
B5 0.6252 0.3565 0.6502  4 O 1.47-1.55
B6 0.0047 0.8560 0.8092  3 O 1.37-1.40
B7 0.6617 0.6841 0.9277  4 O 1.43-1.49
B8 0.7338 0.3339 0.9807  4 O 1.45-1.50
Ho1 0.5492 0.0913 0.2871  6 O 2.23-2.47
Ho2 0.8875 0.6774 0.3604  7 O 2.28-2.54
Ho3 0.1125 0.3226 0.6396  7 O 2.28-2.54
Ho4 0.4508 0.9087 0.7129  6 O 2.23-2.47
O1 0.5048 0.7922 0.0229  2 B 1.46-1.50
O2 0.7770 0.5740 0.0419  2 B 1.43-1.45
O3 0.1884 0.1268 0.1203  2 B 1.37-1.49
O4 0.8627 0.2842 0.1452  2 B 1.40-1.50
O5 0.2345 0.7379 0.2128  2 B 1.46-1.55
O6 0.4630 0.4621 0.2525  2 B 1.46-1.47
O7 0.9316 0.0442 0.3274  1 B 1.37
O8 0.5827 0.8197 0.4477  1 B 1.48
O9 0.2194 0.5932 0.4781  1 B 1.47
O10 0.7806 0.4068 0.5219  1 B 1.47
O11 0.4173 0.1803 0.5523  1 B 1.48
O12 0.0684 0.9558 0.6726  1 B 1.37
O13 0.5370 0.5379 0.7475  2 B 1.46-1.47
O14 0.7655 0.2621 0.7872  2 B 1.46-1.55
O15 0.1373 0.7158 0.8548  2 B 1.40-1.50
O16 0.8116 0.8732 0.8797  2 B 1.37-1.49
O17 0.2230 0.4260 0.9581  2 B 1.43-1.45
O18 0.4952 0.2078 0.9771  2 B 1.46-1.50

Summary:
Total energy in eV for the cell shown: -246.932

Record 5
# Rb2ScCdCl6

An optimized crystal structure of Rb2ScCdCl6 (PBE, the Open Quantum Materials Database).

Cell lengths 7.5263, 7.5263, 7.5263 Å; angles 60.00, 60.00, 60.00 degrees
Closest atoms and distances in Å follow each position.
Element x y z (fractional)
Cd1 0.0000 0.0000 0.0000  6 Cl 2.82
Cl1 0.2653 0.7347 0.2653  1 Sc 2.50
Cl2 0.7347 0.2653 0.2653  1 Sc 2.50
Cl3 0.7347 0.7347 0.2653  1 Sc 2.50
Cl4 0.2653 0.7347 0.7347  1 Sc 2.50
Cl5 0.2653 0.2653 0.7347  1 Sc 2.50
Cl6 0.7347 0.2653 0.7347  1 Sc 2.50
Rb1 0.2500 0.2500 0.2500  12 Cl 3.77
Rb2 0.7500 0.7500 0.7500  12 Cl 3.77
Sc1 0.5000 0.5000 0.5000  6 Cl 2.50

Summary:
Total energy in eV for the cell shown: -37.409

Record 6
# MgUMo

An optimized crystal structure of MgUMo (PBE, the Open Quantum Materials Database).

Cell lengths 4.5656, 4.5656, 4.5656 Å; angles 60.00, 60.00, 60.00 degrees
Closest atoms and distances in Å follow each position.
Element x y z (fractional)
Mg1 0.2500 0.2500 0.2500  4 Mo 2.80
Mo1 0.0000 0.0000 0.0000  4 Mg 2.80, 4 U 2.80
U1 0.7500 0.7500 0.7500  4 Mo 2.80

Summary:
Energy above the most stable polymorph in this dataset in eV/atom: 0.000

Record 7
# HoPb

An optimized crystal structure of HoPb (PBE, the Open Quantum Materials Database).

Cell lengths 4.9243, 4.9243, 4.9243 Å; angles 60.00, 60.00, 60.00 degrees
Closest atoms and distances in Å follow each position.
Element x y z (fractional)
Ho1 0.0000 0.0000 0.0000  4 Pb 3.02
Pb1 0.2500 0.2500 0.2500  4 Ho 3.02

Summary:
Total energy in eV for the cell shown: -7.415

Record 8
# TbAl2O5

An optimized crystal structure of TbAl2O5 (PBE, the Open Quantum Materials Database).

Cell lengths 5.2452, 5.2452, 4.0535 Å; angles 90.00, 90.00, 90.00 degrees
Closest atoms and distances in Å follow each position.
Element x y z (fractional)
Al1 0.5000 0.0000 0.5000  10 O 2.62-2.76
Al2 0.0000 0.5000 0.5000  10 O 2.62-2.76
O1 0.2918 0.2918 0.0000  1 Tb 2.16, 2 O 2.18
O2 0.7082 0.2918 0.0000  1 Tb 2.16, 2 O 2.18
O3 0.2918 0.7082 0.0000  1 Tb 2.16, 2 O 2.18
O4 0.7082 0.7082 0.0000  1 Tb 2.16, 2 O 2.18
O5 0.0000 0.0000 0.5000  2 Tb 2.03
Tb1 0.0000 0.0000 0.0000  6 O 2.03-2.16

Summary:
Total energy in eV for the cell shown: -40.983

Record 9
# Gd

An optimized crystal structure of Gd (PBE, the Open Quantum Materials Database).

Cell lengths 5.5277, 5.5277, 5.4855 Å; angles 90.00, 90.00, 120.00 degrees
Closest atoms and distances in Å follow each position.
Element x y z (fractional)
Gd1 0.0000 0.0000 0.2500  2 Gd 2.74
Gd2 0.3333 0.6667 0.2500  3 Gd 3.19
Gd3 0.0000 0.0000 0.7500  2 Gd 2.74
Gd4 0.6667 0.3333 0.7500  3 Gd 3.19

Summary:
Energy above the most stable polymorph in this dataset in eV/atom: 0.843
E_form in eV per atom: 0.84

Record 10
# BaTaO3

An optimized crystal structure of BaTaO3 (PBE, the Open Quantum Materials Database).

Cell lengths 5.7998, 5.8048, 8.2094 Å; angles 90.00, 90.00, 90.00 degrees
Closest atoms and distances in Å follow each position.
Element x y z (fractional)
Ba1 0.5003 0.5001 0.2500  12 O 2.90
Ba2 0.9997 0.0000 0.2500  12 O 2.90
Ba3 0.4997 0.4999 0.7500  12 O 2.90
Ba4 0.0003 0.0000 0.7500  12 O 2.90
O1 0.2498 0.2498 0.0000  2 Ta 2.05
O2 0.7498 0.2502 0.0000  2 Ta 2.05
O3 0.2502 0.7498 0.0000  2 Ta 2.05
O4 0.7502 0.7502 0.0000  2 Ta 2.05
O5 0.5001 0.9997 0.2500  2 Ta 2.05
O6 0.9999 0.4997 0.2500  2 Ta 2.05
O7 0.7502 0.7502 0.5000  2 Ta 2.05
O8 0.7498 0.2502 0.5000  2 Ta 2.05
O9 0.2502 0.7498 0.5000  2 Ta 2.05
O10 0.2498 0.2498 0.5000  2 Ta 2.05
O11 0.0001 0.5003 0.7500  2 Ta 2.05
O12 0.4999 0.0003 0.7500  2 Ta 2.05
Ta1 0.5000 0.0000 0.0000  6 O 2.05
Ta2 0.0000 0.5000 0.0000  6 O 2.05
Ta3 0.0000 0.5000 0.5000  6 O 2.05
Ta4 0.5000 0.0000 0.5000  6 O 2.05

Summary:
Total energy in eV for the cell shown: -171.550

Record 11
# HfZrPO

An optimized crystal structure of HfZrPO (PBE, the Open Quantum Materials Database).

Cell lengths 3.8358, 3.8358, 8.4435 Å; angles 90.00, 90.00, 90.00 degrees
Closest atoms and distances in Å follow each position.
Element x y z (fractional)
Hf1 0.0000 0.0000 0.5000  4 P 2.66, 4 Hf 2.71
Hf2 0.5000 0.5000 0.5000  4 P 2.66, 4 Hf 2.71
O1 0.0000 0.0000 0.0000  4 Zr 2.24
O2 0.5000 0.5000 0.0000  4 Zr 2.24
P1 0.5000 0.0000 0.2809  4 Hf 2.66, 4 Zr 2.97
P2 0.0000 0.5000 0.7191  4 Hf 2.66, 4 Zr 2.97
Zr1 0.0000 0.5000 0.1381  4 O 2.24
Zr2 0.5000 0.0000 0.8619  4 O 2.24

Summary:
Energy above the most stable polymorph in this dataset in eV/atom: 0.054

Record 12
# GdMgZn

An optimized crystal structure of GdMgZn (PBE, the Open Quantum Materials Database).

Cell lengths 6.3066, 6.4932, 15.4587 Å; angles 89.19, 89.51, 61.66 degrees
Closest atoms and distances in Å follow each position.
Element x y z (fractional)
Gd1 0.5560 0.0597 0.1006  7 Zn 2.97-3.30, 4 Mg 3.20-3.32
Gd2 0.2417 0.7276 0.2667  6 Zn 2.91-3.16, 2 Mg 3.23-3.24
Gd3 0.5316 0.0402 0.4093  6 Zn 2.97-3.31, 3 Mg 3.28-3.29
Gd4 0.2271 0.2375 0.6103  5 Mg 3.19-3.38, 4 Gd 3.29-3.56
Gd5 0.7725 0.7708 0.6158  7 Mg 3.19-3.49, 3 Gd 3.29-3.56
Gd6 0.4250 0.5745 0.7405  6 Mg 3.28-3.43, 1 Zn 3.29, 5 Gd 3.45-3.63
Gd7 0.4429 0.0620 0.8170  2 Zn 2.87-3.02
Gd8 0.1488 0.7790 0.9490  5 Zn 2.98-3.21, 2 Mg 3.29-3.31
Mg1 0.6185 0.5231 0.1074  5 Zn 2.77-3.02
Mg2 0.1444 0.2727 0.2509  5 Zn 2.81-2.99, 1 Mg 3.08
Mg3 0.0296 0.5401 0.4223  3 Zn 2.75-3.05, 2 Mg 3.01-3.08
Mg4 0.2733 0.7509 0.5292  2 Zn 2.75-2.86, 2 Mg 3.01-3.05
Mg5 0.7173 0.2795 0.5619  2 Zn 2.85-2.88, 1 Mg 3.05, 1 Gd 3.19
Mg6 0.9277 0.0800 0.7558  1 Zn 3.14, 2 Mg 3.14-3.28, 7 Gd 3.25-3.46
Mg7 0.9366 0.5439 0.8038  1 Zn 2.81, 2 Mg 3.05-3.14
Mg8 0.0874 0.3047 0.9803  4 Zn 2.76-2.90, 1 Mg 3.05
Zn1 0.0484 0.5996 0.1141  3 Mg 2.77-2.98, 2 Zn 2.79-2.88, 2 Gd 2.97-2.98
Zn2 0.0501 0.0418 0.1159  3 Mg 2.76-3.02, 2 Zn 2.88-2.89, 3 Gd 2.94-3.07
Zn3 0.7378 0.7338 0.2566  3 Zn 2.79-3.01, 3 Mg 2.87-3.05, 2 Gd 2.97-3.03
Zn4 0.7165 0.2064 0.2594  4 Zn 2.76-3.01, 2 Mg 2.93-2.97, 2 Gd 3.00
Zn5 0.6164 0.5057 0.3968  3 Zn 2.65-2.90, 3 Mg 2.75-2.86, 1 Gd 2.91
Zn6 0.0088 0.0944 0.4097  2 Zn 2.65-2.84, 2 Mg 2.75-2.88
Zn7 0.6461 0.3081 0.9265  1 Zn 2.83, 3 Mg 2.90-3.14, 1 Gd 3.02
Zn8 0.6660 0.7288 0.9552  3 Mg 2.77-2.81, 1 Zn 2.83, 2 Gd 2.87-2.97

Summary:
Total energy in eV for the cell shown: -63.195

| no. | magnetization (μB per formula unit) |
| --- | --- |
| 1 | 0.01 |
| 2 | 0.00 |
| 3 | 0.00 |
| 4 | 0.00 |
| 5 | 0.01 |
| 6 | 0.43 |
| 7 | 0.83 |
| 8 | 1.63 |
| 9 | 0.00 |
| 10 | 0.00 |
| 11 | 0.00 |
| 12 | 0.00 |